TlSb2Au3, optimized geometry, DFT PBE-GGA; D(E_F) = 0.407 states/eV/atom; symmetry = P2_1/m (11); formation energy without anion corrections = -10 meV/atom; volume = 26.339 Å³ per atom; total magnetization = 0.0 μB per formula unit; raw total energy = -3.417 eV per atom
1.0
6.558 0.000 0.000
0.000 6.858 0.000
-0.243 0.000 7.028
Tl Sb Au
2 4 6
Direct
0.175 0.250 0.219 Tl
0.825 0.750 0.781 Tl
0.311 0.502 0.740 Sb
0.311 0.998 0.740 Sb
0.689 0.002 0.260 Sb
0.689 0.498 0.260 Sb
0.019 0.750 0.230 Au
0.397 0.750 0.442 Au
0.398 0.750 0.043 Au
0.602 0.250 0.957 Au
0.603 0.250 0.558 Au
0.981 0.250 0.770 Au